[1]
Crystalline LiPm4Ru2 at its relaxed geometry, computed with GGA-PBE.

Cell lengths 5.0013, 5.0013, 23.9542 Å; angles 90.00, 90.00, 120.00 degrees
Closest atoms and distances in Å follow each position.
Space group R-3m (No. 166, hexagonal axes)
Asymmetric unit:
Li 0.0000 0.0000 0.0000 (multiplicity 3)  8 Pm 3.08-3.09
Pm 0.0000 0.0000 0.1288 (multiplicity 6)  4 Ru 2.97-3.11, 1 Li 3.08
Pm 0.0000 0.0000 0.3794 (multiplicity 6)  4 Ru 3.00-3.03, 3 Li 3.09
Ru 0.0000 0.0000 0.2527 (multiplicity 6)  8 Pm 2.97-3.11

V, A^3/atom: 24.709
Energy relative to the lowest polymorph listed for this composition, eV/f.u.: 0.00
Energy relative to the elements, eV/atom: -0.184

=====

[2]
Crystalline LiPm2Ru at its relaxed geometry, computed with GGA-PBE.

Cell lengths 3.4995, 3.4995, 8.2487 Å; angles 90.00, 90.00, 90.00 degrees
Closest atoms and distances in Å follow each position.
Space group P4/mmm (No. 123)
Asymmetric unit:
Li 0.0000 0.0000 0.0000 (multiplicity 1)  8 Pm 3.46, 4 Li 3.50
Pm 0.5000 0.5000 0.2936 (multiplicity 2)  4 Ru 3.00
Ru 0.0000 0.0000 0.5000 (multiplicity 1)  8 Pm 3.00

V, A^3/atom: 25.254
Energy relative to the elements, eV/atom: -0.124

=====

[3]
Crystalline LiPmSiRu at its relaxed geometry, computed with GGA-PBE.

Cell lengths 6.4829, 6.4829, 6.4829 Å; angles 90.00, 90.00, 90.00 degrees
Closest atoms and distances in Å follow each position.
Space group F-43m (No. 216)
Asymmetric unit:
Li 0.0000 0.0000 0.0000 (multiplicity 4)  4 Si 2.81, 4 Pm 2.81
Pm 0.2500 0.2500 0.2500 (multiplicity 4)  4 Li 2.81, 4 Ru 2.81
Si 0.2500 0.2500 0.7500 (multiplicity 4)  4 Li 2.81, 4 Ru 2.81
Ru 0.0000 0.0000 0.5000 (multiplicity 4)  4 Pm 2.81, 4 Si 2.81

V, A^3/atom: 17.029
Raw formation energy, eV/atom: -0.261

=====

[4]
Crystalline LiPmSmRu at its relaxed geometry, computed with GGA-PBE.

Cell lengths 7.1040, 7.1040, 7.1040 Å; angles 90.00, 90.00, 90.00 degrees
Closest atoms and distances in Å follow each position.
Space group F-43m (No. 216)
Asymmetric unit:
Li 0.0000 0.0000 0.0000 (multiplicity 4)  4 Pm 3.08, 4 Sm 3.08
Pm 0.2500 0.2500 0.2500 (multiplicity 4)  4 Li 3.08, 4 Ru 3.08
Sm 0.2500 0.2500 0.7500 (multiplicity 4)  4 Li 3.08, 4 Ru 3.08
Ru 0.0000 0.0000 0.5000 (multiplicity 4)  4 Pm 3.08, 4 Sm 3.08

V, A^3/atom: 22.407
Energy relative to the elements, eV/atom: -0.181